# Tb2Ho5Bi5

A relaxed Tb2Ho5Bi5 crystal (PBE, Alexandria).

Cell: 4.426 7.614 12.697 Å, 110.56 90.00 106.90°
Fractional coordinates of all 12 atoms:
Tb  0.952  0.903  0.215
Tb  0.048  0.097  0.785
Bi  0.301  0.601  0.216
Bi  0.878  0.756  0.558
Bi  0.122  0.244  0.442
Bi  0.699  0.399  0.784
Bi  0.000  0.000  0.000
Ho  0.337  0.675  0.970
Ho  0.500  0.000  0.500
Ho  0.706  0.413  0.332
Ho  0.663  0.325  0.030
Ho  0.294  0.587  0.668

Output
DOS(E_F), states/eV per atom: 0.64
Space-group type: C2/m, No. 12
Formation enthalpy at 0 K, eV/atom: -0.568
Total DFT energy (no corrections), eV per cell: -58.4
ρ, Mg/m³: 9.5